! UGaRu, optimized geometry, DFT PBE; values from VASP
! ΔH_f (0 K) = 0.182 eV per atom
! magnetization = 0.87 μB/f.u.
! symmetry = No. 63
&SYSTEM
  ibrav = 0, nat = 6, ntyp = 3
/
ATOMIC_SPECIES
U 238.03 U.upf
Ga 69.72 Ga.upf
Ru 101.07 Ru.upf
CELL_PARAMETERS angstrom
1.679 -6.688 0.000
1.679 6.688 0.000
0.000 0.000 5.869
ATOMIC_POSITIONS crystal
U 0.000 0.000 0.000
U 0.000 0.000 0.500
Ga 0.202 0.798 0.750
Ga 0.798 0.202 0.250
Ru 0.394 0.606 0.750
Ru 0.606 0.394 0.250